[1]
Density functional theory data (SCAN) for a crystal of MnReAg relaxed with PBEsol.

Results
SG: No. 107
Energy: -39.761 eV/atom
Calculated volume: 42.4 Å³/f.u.
E_form: 479 meV/atom

```
MnReAg
1.0
-1.5094 -0.6558 2.2732
0.5727 -2.7175 -0.4037
4.8770 2.1605 2.1293
Ag Mn Re
1 1 1
Direct
0.0061 0.0061 0.0122 Ag
0.6842 0.6842 0.3684 Mn
0.3097 0.3097 0.6194 Re
```


[2]
Density functional theory data (SCAN) for a crystal of Rb2TcCl6 relaxed with PBEsol.

Results
SG: No. 225
Energy: -15.426 eV/atom
Calculated volume: 242.3 Å³/f.u.
Energy relative to the elements, uncorrected: -1392 kJ/mol of formula units

```
Rb2TcCl6
1.0
-1.7238 -6.7820 0.0241
5.0011 -4.8825 -0.3445
1.4231 -3.9520 5.5969
Rb Tc Cl
2 1 6
Direct
0.2500 0.2500 0.2500 Rb
0.7500 0.7500 0.7500 Rb
0.0000 0.0000 0.0000 Tc
0.7633 0.2367 0.2367 Cl
0.2367 0.7633 0.7633 Cl
0.7633 0.2367 0.7633 Cl
0.2367 0.7633 0.2367 Cl
0.7633 0.7633 0.2367 Cl
0.2367 0.2367 0.7633 Cl
```


[3]
Density functional theory data (SCAN) for a crystal of KCoCl relaxed with PBEsol.

Results
SG: No. 216
Energy: -10.980 eV/atom
Calculated volume: 77.3 Å³/f.u.
Energy relative to the elements, uncorrected: 65 kJ/mol of formula units

```
KCoCl
1.0
4.7807 0.0000 0.0000
2.3903 4.1402 0.0000
2.3903 1.3801 3.9034
K Co Cl
1 1 1
Direct
0.5000 0.5000 0.5000 K
0.0000 0.0000 0.0000 Co
0.2500 0.2500 0.2500 Cl
```


[4]
Density functional theory data (SCAN) for a crystal of Y2MoP relaxed with PBEsol.

Results
SG: No. 99
Energy: -25.621 eV/atom
Calculated volume: 84.9 Å³/f.u.
E_form: -378 meV/atom

```
Y2MoP
1.0
3.2859 0.0000 0.0000
0.0000 3.2859 0.0000
0.0000 0.0000 7.8596
Mo P Y
1 1 2
Direct
0.0000 0.0000 0.5694 Mo
0.5000 0.5000 0.6913 P
0.0000 0.0000 0.9282 Y
0.5000 0.5000 0.3111 Y
```


[5]
Density functional theory data (SCAN) for a crystal of KCa2Ag relaxed with PBEsol.

Results
SG: No. 12
Energy: -14.489 eV/atom
Calculated volume: 139.8 Å³/f.u.
E_form: 267 meV/atom

```
KCa2Ag
1.0
-1.3846 -1.6944 -3.0135
6.0209 0.7192 -2.3917
-0.8292 -4.6487 4.9064
Ag Ca K
1 2 1
Direct
0.0000 0.5000 0.0000 Ag
0.0000 0.0000 0.5000 Ca
0.5000 0.5000 0.5000 Ca
0.5000 0.0000 0.0000 K
```


[6]
Density functional theory data (SCAN) for a crystal of ZnRhO2F relaxed with PBEsol.

Results
SG: No. 123
Energy: -13.084 eV/atom
Calculated volume: 56.5 Å³/f.u.
Energy relative to the elements, uncorrected: -206 kJ/mol of formula units

```
ZnRhO2F
1.0
3.8047 0.0000 0.0000
0.0000 3.8047 0.0000
0.0000 0.0000 3.8997
Zn Rh O F
1 1 2 1
Direct
0.0000 0.0000 0.0000 Zn
0.5000 0.5000 0.5000 Rh
0.0000 0.5000 0.0000 O
0.5000 0.0000 0.0000 O
0.0000 0.0000 0.5000 F
```


[7]
Density functional theory data (SCAN) for a crystal of Ag2SbPb relaxed with PBEsol.

Results
SG: No. 99
Energy: -43.831 eV/atom
Calculated volume: 89.0 Å³/f.u.
Energy relative to the elements, uncorrected: 44 kJ/mol of formula units

```
Ag2SbPb
1.0
3.3611 0.0000 0.0000
0.0000 3.3611 0.0000
0.0000 0.0000 7.8786
Pb Sb Ag
1 1 2
Direct
0.0000 0.0000 0.4607 Pb
0.5000 0.5000 0.8023 Sb
0.0000 0.0000 0.0220 Ag
0.5000 0.5000 0.2150 Ag
```


[8]
Density functional theory data (SCAN) for a crystal of NaMn3Br relaxed with PBEsol.

Results
SG: No. 221
Energy: -14.875 eV/atom
Calculated volume: 95.2 Å³/f.u.
Energy relative to the elements, uncorrected: 392 kJ/mol of formula units

```
NaMn3Br
1.0
4.5659 0.0000 0.0000
0.0000 4.5659 0.0000
0.0000 0.0000 4.5659
Na Mn Br
1 3 1
Direct
0.5000 0.5000 0.5000 Na
0.0000 0.5000 0.0000 Mn
0.0000 0.0000 0.5000 Mn
0.5000 0.0000 0.0000 Mn
0.0000 0.0000 0.0000 Br
```


[9]
Density functional theory data (SCAN) for a crystal of DyInO3 relaxed with PBEsol.

Results
SG: No. 185
Energy: -22.832 eV/atom
Calculated volume: 69.3 Å³/f.u.
Energy relative to the elements, uncorrected: -1378 kJ/mol of formula units

```
DyInO3
1.0
-3.3232 5.0882 1.5451
-2.5762 -4.4607 -3.5757
-4.0523 -5.6879 10.0152
Dy In O
6 6 18
Direct
0.3333 0.6667 0.2703 Dy
0.0000 0.0000 0.2334 Dy
0.0000 0.0000 0.7334 Dy
0.3333 0.6667 0.7703 Dy
0.6667 0.3333 0.7703 Dy
0.6667 0.3333 0.2703 Dy
0.3335 0.0000 0.0042 In
0.6665 0.0000 0.5042 In
0.6665 0.6665 0.0042 In
0.3335 0.3335 0.5042 In
0.0000 0.6665 0.5042 In
0.0000 0.3335 0.0042 In
0.3049 0.0000 0.8320 O
0.3633 0.0000 0.1742 O
0.6367 0.0000 0.6742 O
0.6951 0.0000 0.3320 O
0.3333 0.6667 0.4728 O
0.0000 0.0000 0.0379 O
0.3333 0.6667 0.9728 O
0.0000 0.0000 0.5379 O
0.6951 0.6951 0.8320 O
0.6367 0.6367 0.1742 O
0.0000 0.6951 0.3320 O
0.3633 0.3633 0.6742 O
0.3049 0.3049 0.3320 O
0.0000 0.6367 0.6742 O
0.6667 0.3333 0.9728 O
0.6667 0.3333 0.4728 O
0.0000 0.3633 0.1742 O
0.0000 0.3049 0.8320 O
```


[10]
Density functional theory data (SCAN) for a crystal of TaMn3Sb relaxed with PBEsol.

Results
SG: No. 221
Energy: -30.562 eV/atom
Calculated volume: 101.0 Å³/f.u.
Energy relative to the elements, uncorrected: 559 kJ/mol of formula units

```
TaMn3Sb
1.0
-2.5124 0.8377 3.8300
0.6364 -4.4015 1.3801
3.8686 1.2680 2.2604
Sb Mn Ta
1 3 1
Direct
0.0000 0.0000 0.0000 Sb
0.0000 0.5000 0.0000 Mn
0.0000 0.0000 0.5000 Mn
0.5000 0.0000 0.0000 Mn
0.5000 0.5000 0.5000 Ta
```


[11]
Density functional theory data (SCAN) for a crystal of YCrCl2 relaxed with PBEsol.

Results
SG: No. 160
Energy: -16.679 eV/atom
Calculated volume: 96.6 Å³/f.u.
Energy relative to the elements, uncorrected: -437 kJ/mol of formula units

```
YCrCl2
1.0
3.5617 0.0000 0.0000
1.7808 3.0845 0.0000
1.7808 1.0282 8.7969
Y Cr Cl
1 1 2
Direct
0.2505 0.2505 0.2485 Y
0.4937 0.4937 0.5190 Cr
0.9832 0.9832 0.0503 Cl
0.7726 0.7726 0.6821 Cl
```


[12]
Density functional theory data (SCAN) for a crystal of Fe2TcRu relaxed with PBEsol.

Results
SG: No. 99
Energy: -26.490 eV/atom
Calculated volume: 49.2 Å³/f.u.
E_form: 46 meV/atom

```
Fe2TcRu
1.0
-0.5283 2.5743 0.8816
-0.5558 -0.9812 2.5322
6.1507 0.7062 1.6238
Fe Ru Tc
2 1 1
Direct
0.0000 0.0000 0.0184 Fe
0.5000 0.5000 0.2307 Fe
0.0000 0.0000 0.4824 Ru
0.5000 0.5000 0.7684 Tc
```


[13]
Density functional theory data (SCAN) for a crystal of Mg3Rh relaxed with PBEsol.

Results
SG: No. 123
Energy: -12.544 eV/atom
Calculated volume: 72.8 Å³/f.u.
E_form: -370 meV/atom

```
Mg3Rh
1.0
-1.8576 0.7754 -2.4544
0.1603 -2.9861 -1.0647
-5.8500 -1.7011 3.8901
Mg Rh
3 1
Direct
0.0000 0.0000 0.8007 Mg
0.5000 0.5000 0.5000 Mg
0.0000 0.0000 0.1993 Mg
0.5000 0.5000 0.0000 Rh
```


[14]
Density functional theory data (SCAN) for a crystal of Zr2BeOs2 relaxed with PBEsol.

Results
SG: No. 139
Energy: -41.547 eV/atom
Calculated volume: 91.9 Å³/f.u.
E_form: 355 meV/atom

```
Zr2BeOs2
1.0
3.4886 0.0000 0.0000
0.0000 3.4886 0.0000
-1.7443 -1.7443 7.5483
Be Os Zr
1 2 2
Direct
0.0000 0.0000 0.0000 Be
0.2500 0.7500 0.5000 Os
0.7500 0.2500 0.5000 Os
0.4008 0.4008 0.8015 Zr
0.5992 0.5992 0.1985 Zr
```


[15]
Density functional theory data (SCAN) for a crystal of CeIrOs relaxed with PBEsol.

Results
SG: No. 74
Energy: -63.134 eV/atom
Calculated volume: 53.6 Å³/f.u.
E_form: -619 meV/atom

```
CeIrOs
1.0
-1.1370 2.0208 -4.4894
-4.6062 -1.5084 -2.3558
-4.1303 3.4531 -0.2431
Ce Ir Os
2 2 2
Direct
0.1290 0.6210 0.1210 Ce
0.8710 0.3790 0.8790 Ce
0.5000 0.5000 0.5000 Ir
0.5000 0.0000 0.0000 Ir
0.5000 0.0000 0.5000 Os
0.0000 0.0000 0.5000 Os
```


[16]
Density functional theory data (SCAN) for a crystal of HfPtOF2 relaxed with PBEsol.

Results
SG: No. 123
Energy: -31.248 eV/atom
Calculated volume: 67.8 Å³/f.u.
Energy relative to the elements, uncorrected: -971 kJ/mol of formula units

```
HfPtOF2
1.0
4.0417 0.0000 0.0000
0.0000 4.0957 0.0000
0.0000 0.0000 4.0957
Hf O Pt F
1 1 1 2
Direct
0.0000 0.0000 0.0000 Hf
0.5000 0.0000 0.0000 O
0.5000 0.5000 0.5000 Pt
0.0000 0.0000 0.5000 F
0.0000 0.5000 0.0000 F
```


[17]
Density functional theory data (SCAN) for a crystal of KPr3Te8 relaxed with PBEsol.

Results
SG: No. 14
Energy: -37.658 eV/atom
Calculated volume: 396.7 Å³/f.u.
Energy relative to the elements, uncorrected: -1504 kJ/mol of formula units

```
KPr3Te8
1.0
8.8968 0.0000 0.0005
0.0000 12.8064 0.0000
-2.2093 0.0000 13.9279
K Pr Te
4 12 32
Direct
0.7585 0.9083 0.0360 K
0.2585 0.5917 0.0360 K
0.2415 0.0917 0.9640 K
0.7415 0.4083 0.9640 K
0.5809 0.9154 0.3488 Pr
0.0809 0.5846 0.3488 Pr
0.4054 0.4162 0.6491 Pr
0.9129 0.7506 0.6537 Pr
0.9054 0.0838 0.6491 Pr
0.4129 0.7494 0.6537 Pr
0.9191 0.4154 0.6512 Pr
0.5946 0.5838 0.3509 Pr
0.5871 0.2506 0.3463 Pr
0.0946 0.9162 0.3509 Pr
0.0871 0.2494 0.3463 Pr
0.4191 0.0846 0.6512 Pr
0.9571 0.2492 0.8269 Te
0.3563 0.0851 0.4162 Te
0.3516 0.4198 0.4135 Te
0.9671 0.9201 0.8303 Te
0.4671 0.5799 0.8303 Te
0.0429 0.7508 0.1731 Te
0.1484 0.9198 0.5865 Te
0.8516 0.0802 0.4135 Te
0.6451 0.2542 0.5815 Te
0.5329 0.4201 0.1697 Te
0.7916 0.2315 0.1646 Te
0.0521 0.4193 0.1691 Te
0.1451 0.2458 0.5815 Te
0.1437 0.5851 0.5838 Te
0.7084 0.7315 0.8354 Te
0.6484 0.5802 0.5865 Te
0.5521 0.0807 0.1691 Te
0.2916 0.2685 0.1646 Te
0.2926 0.9056 0.1713 Te
0.8549 0.7542 0.4185 Te
0.8563 0.4149 0.4162 Te
0.7074 0.0944 0.8287 Te
0.2074 0.4056 0.8287 Te
0.2084 0.7685 0.8354 Te
0.0329 0.0799 0.1697 Te
0.3549 0.7458 0.4185 Te
0.6437 0.9149 0.5838 Te
0.5429 0.7492 0.1731 Te
0.7926 0.5944 0.1713 Te
0.4571 0.2508 0.8269 Te
0.9479 0.5807 0.8309 Te
0.4479 0.9193 0.8309 Te
```


[18]
Density functional theory data (SCAN) for a crystal of LiRe2Mo relaxed with PBEsol.

Results
SG: No. 35
Energy: -44.590 eV/atom
Calculated volume: 59.8 Å³/f.u.
E_form: 277 meV/atom

```
LiRe2Mo
1.0
2.6399 -0.0017 0.0000
-0.9543 2.4614 0.0000
0.0000 0.0000 9.2045
Li Mo Re
1 1 2
Direct
0.0000 0.0000 0.5059 Li
0.5000 0.5000 0.2402 Mo
0.0000 0.0000 0.9974 Re
0.5000 0.5000 0.7566 Re
```


[19]
Density functional theory data (SCAN) for a crystal of LiMg2Cd relaxed with PBEsol.

Results
SG: No. 119
Energy: -10.862 eV/atom
Calculated volume: 79.5 Å³/f.u.
E_form: -174 meV/atom

```
LiMg2Cd
1.0
-1.0892 -4.1179 -0.4909
2.4767 -0.2388 -3.4919
2.6621 0.9973 4.4523
Mg Cd Li
2 1 1
Direct
0.0000 0.0000 0.0000 Mg
0.7500 0.2500 0.5000 Mg
0.5000 0.5000 0.0000 Cd
0.2500 0.7500 0.5000 Li
```


[20]
Density functional theory data (SCAN) for a crystal of CsZr2RhAu relaxed with PBEsol.

Results
SG: No. 123
Energy: -38.050 eV/atom
Calculated volume: 133.1 Å³/f.u.
E_form: 2377 meV/atom

```
CsZr2RhAu
1.0
5.1059 0.0000 0.0000
0.0000 5.1059 0.0000
0.0000 0.0000 5.1042
Cs Rh Au Zr
1 1 1 2
Direct
0.0000 0.0000 0.0000 Cs
0.5000 0.5000 0.5000 Rh
0.0000 0.0000 0.5000 Au
0.0000 0.5000 0.0000 Zr
0.5000 0.0000 0.0000 Zr
```


Mass density, record by record: 13.65; 3.30; 2.87; 5.96; 2.70; 6.45; 10.16; 4.67; 7.80; 7.69; 3.64; 10.49; 4.01; 10.34; 16.20; 10.47; 6.21; 13.20; 3.51; 7.68 Mg/m³